Computed, not measured: a geometry-optimized P2RhBr structure at the PBE level of DFT.

Results
Offset from the most stable computed form = 0.2313 eV/atom
N(E_F) = 8.748 states/eV/cell
Formation energy (no corrections) = 0.03 eV/atom

Cell lengths 3.6994, 3.6994, 19.5112 Å; angles 90.00, 90.00, 120.00 degrees
Space group R-3m (No. 166, hexagonal axes)
Inequivalent atoms, fractional coordinates:
P1 0.0000 0.0000 0.2205
Rh1 0.0000 0.0000 0.5000
Br1 0.0000 0.0000 0.0000

---

Computed, not measured: a geometry-optimized CaTl3Au structure at the PBE level of DFT.

Results
Offset from the most stable computed form = 0.0000 eV/atom
Energy of formation = 0.07 eV/atom
N(E_F) = 3.569 states/eV/cell

Cell lengths 5.5459, 5.5459, 5.5459 Å; angles 90.00, 90.00, 90.00 degrees
Space group Pm-3m (No. 221)
Inequivalent atoms, fractional coordinates:
Ca1 0.0000 0.0000 0.0000
Tl1 0.0000 0.5000 0.5000
Au1 0.5000 0.5000 0.5000

---

Computed, not measured: a geometry-optimized Cs2AcCdCl6 structure at the PBE level of DFT.

Results
N(E_F) = 4.754 states/eV/cell
Formation energy (no corrections) = -1.83 eV/atom

Cell lengths 8.1867, 11.6025, 8.3009 Å; angles 90.00, 90.00, 90.00 degrees
Space group Pmmn (No. 59, origin choice 2)
Inequivalent atoms, fractional coordinates:
Cs1 0.2500 0.0123 0.2157
Ac1 0.2500 0.2500 0.7349
Cd1 0.2500 0.7500 0.7551
Cl1 0.0006 0.7500 0.0225
Cl2 0.0147 0.2500 0.4804
Cl3 0.2500 0.0044 0.7710